1.
This record from the Alexandria database describes a relaxed K3Os crystal. The functional is GGA-PBE.

Computed properties:
- energy of formation from the pure elements (eV per atom) = 1.3574
- ΔE to the lowest computed polymorph (kJ/mol of formula units) = 48

a b c (Å): 6.599 6.599 6.599
angles (deg): 90.00 90.00 90.00
Space group Pm-3n (No. 223)
Inequivalent atoms, fractional coordinates:
K: 0.000 0.250 0.500 [6 per cell]
Os: 0.000 0.000 0.000 [2 per cell]

2.
This record from the Alexandria database describes a relaxed NbTcIr2Ru crystal. The functional is GGA-PBE.

Computed properties:
- energy of formation from the pure elements (eV per atom) = 1.6755

a b c (Å): 4.677 4.677 4.504
angles (deg): 90.00 90.00 90.00
Space group P4/mmm (No. 123)
Inequivalent atoms, fractional coordinates:
Nb: 0.000 0.000 0.000 [1 per cell]
Tc: 0.500 0.500 0.000 [1 per cell]
Ir: 0.000 0.500 0.500 [2 per cell]
Ru: 0.500 0.500 0.500 [1 per cell]

3.
This record from the Alexandria database describes a relaxed TbHfZnCd crystal. The functional is GGA-PBE.

Computed properties:
- energy of formation from the pure elements (eV per atom) = -0.0855

a b c (Å): 7.075 7.075 7.075
angles (deg): 90.00 90.00 90.00
Space group F-43m (No. 216)
Inequivalent atoms, fractional coordinates:
Tb: 0.000 0.000 0.000 [4 per cell]
Hf: 0.000 0.000 0.500 [4 per cell]
Zn: 0.250 0.250 0.250 [4 per cell]
Cd: 0.250 0.250 0.750 [4 per cell]

Q: Which of these has the lowest energy of formation from the pure elements?
A: TbHfZnCd

Q: Among the records above, which one has the lowest energy of formation from the pure elements?
A: TbHfZnCd